Material: Hf2MoPb
Method: DFT, PBE
State: relaxed

It has space group R-3m (No. 166, hexagonal axes), with a = 3.3155 Å, b = 3.3155 Å, c = 27.6217 Å, α = 90.00°, β = 90.00° and γ = 120.00°. The asymmetric unit holds Hf at (0.0000, 0.0000, 0.2387), Mo at (0.0000, 0.0000, 0.5000) and Pb at (0.0000, 0.0000, 0.0000).

The value obtained for the spin magnetization is 0.00 Bohr magnetons per cell. The calculation puts the calculated density at 12.51 g cm⁻³. For the raw total energy, the calculation gives -102.52 eV for the cell shown.


Material: Nd2Sm5Ag4
Method: DFT, PBE
State: relaxed

It has space group C2/m (No. 12), with a = 25.253 Å, b = 3.491 Å, c = 7.478 Å, α = 90.00°, β = 91.50° and γ = 90.00°. The asymmetric unit holds Nd at (0.096, 0.000, 0.185), Sm at (0.000, 0.500, 0.500), Sm at (0.137, 0.000, 0.646), Sm at (0.233, 0.000, 0.290), Ag at (0.027, 0.000, 0.836) and Ag at (0.177, 0.500, 0.976).

The value obtained for the spin magnetization is 0.00 Bohr magnetons per cell. The calculation puts the calculated density at 7.42 g cm⁻³. For the raw total energy, the calculation gives -88.07 eV for the cell shown.


Material: Tl2Cd2Hg
Method: DFT, PBE
State: relaxed

It has space group I4/mmm (No. 139), with a = 4.589 Å, b = 4.589 Å, c = 14.241 Å, α = 90.00°, β = 90.00° and γ = 90.00°. The asymmetric unit holds Tl at (0.000, 0.500, 0.250), Cd at (0.000, 0.000, 0.097) and Hg at (0.000, 0.000, 0.500).

The value obtained for the spin magnetization is 0.00 Bohr magnetons per cell. As for the energy above the most stable polymorph in this dataset: 2.16 kcal/mol of atoms. The calculation puts the calculated density at 9.24 g cm⁻³. For the raw total energy, the calculation gives -12.39 eV for the cell shown.


Material: CsSrLa3
Method: DFT, PBE
State: relaxed

It has space group Pm-3m (No. 221), with a = 6.090 Å, b = 6.090 Å, c = 6.090 Å, α = 90.00°, β = 90.00° and γ = 90.00°. The asymmetric unit holds Cs at (0.000, 0.000, 0.000), Sr at (0.500, 0.500, 0.500) and La at (0.000, 0.000, 0.500).

The value obtained for the spin magnetization is 0.00 Bohr magnetons per cell. As for the energy above the most stable polymorph in this dataset: 0.00 kcal/mol of atoms. The calculation puts the calculated density at 4.68 g cm⁻³. For the raw total energy, the calculation gives -13.68 eV for the cell shown.


Material: BaRe2Ru
Method: DFT, PBE
State: relaxed

It has space group I4_1/amd (No. 141, origin choice 2), with a = 5.038 Å, b = 5.038 Å, c = 17.046 Å, α = 90.00°, β = 90.00° and γ = 90.00°. The asymmetric unit holds Ba at (0.000, 0.250, 0.375), Re at (0.000, 0.000, 0.000) and Ru at (0.000, 0.250, 0.875).

The value obtained for the spin magnetization is 0.00 Bohr magnetons per cell. As for the energy above the most stable polymorph in this dataset: 13.01 kcal/mol of atoms. The calculation puts the calculated density at 9.38 g cm⁻³. For the raw total energy, the calculation gives -126.10 eV for the cell shown.


Material: Li5Hg3Pd
Method: DFT, PBE
State: relaxed

It has space group C2/m (No. 12), with a = 9.041 Å, b = 7.482 Å, c = 10.942 Å, α = 90.00°, β = 97.77° and γ = 90.00°. The asymmetric unit holds Li at (0.000, 0.170, 0.000), Li at (0.032, 0.000, 0.291), Li at (0.198, 0.294, 0.672), Li at (0.238, 0.000, 0.861), Hg at (0.000, 0.500, 0.000), Hg at (0.000, 0.500, 0.500), Hg at (0.178, 0.000, 0.533), Hg at (0.237, 0.000, 0.124) and Pd at (0.036, 0.500, 0.256).

The value obtained for the spin magnetization is 0.00 Bohr magnetons per cell. The calculation puts the calculated density at 6.73 g cm⁻³. For the raw total energy, the calculation gives -68.15 eV for the cell shown.


Material: KBa2InAg
Method: DFT, PBE
State: relaxed

It has space group P4/mmm (No. 123), with a = 6.801 Å, b = 6.801 Å, c = 5.722 Å, α = 90.00°, β = 90.00° and γ = 90.00°. The asymmetric unit holds K at (0.000, 0.000, 0.000), Ba at (0.000, 0.500, 0.000), In at (0.000, 0.000, 0.500) and Ag at (0.500, 0.500, 0.500).

The value obtained for the spin magnetization is 0.70 Bohr magnetons per cell. The calculation puts the calculated density at 3.37 g cm⁻³. For the raw total energy, the calculation gives -7.10 eV for the cell shown.


Material: SrCa2Eu
Method: DFT, PBE
State: relaxed

It has space group P4/mmm (No. 123), with a = 5.728 Å, b = 5.728 Å, c = 5.588 Å, α = 90.00°, β = 90.00° and γ = 90.00°. The asymmetric unit holds Sr at (0.000, 0.000, 0.000), Ca at (0.000, 0.500, 0.500) and Eu at (0.500, 0.500, 0.000).

The value obtained for the spin magnetization is 7.70 Bohr magnetons per cell. As for the energy above the most stable polymorph in this dataset: 0.05 kcal/mol of atoms. The calculation puts the calculated density at 2.90 g cm⁻³. For the raw total energy, the calculation gives -15.85 eV for the cell shown.